Arrangement w

Y3Tm3Te2Ir after structural relaxation. Source: the Open Quantum Materials Database, functional PBE.

abc: 8.2831 8.2831 3.9942
angles: 90.00 90.00 120.00
Last column: nearest neighbours and their distance in Å.
Element x y z (fractional)
Te  0.6667  0.3333  0.5000  3 Tm 3.23, 6 Y 3.23
Te  0.3333  0.6667  0.5000  3 Tm 3.23, 6 Y 3.23
Y  0.3957  0.0000  0.0000  4 Te 3.23, 1 Ir 3.28, 4 Tm 3.49
Y  0.6043  0.6043  0.0000  4 Te 3.23, 1 Ir 3.28, 4 Tm 3.49
Y  0.0000  0.3957  0.0000  4 Te 3.23, 1 Ir 3.28, 4 Tm 3.49
Tm  0.7615  0.0000  0.5000  2 Ir 2.81
Tm  0.2385  0.2385  0.5000  2 Ir 2.81
Tm  0.0000  0.7615  0.5000  2 Ir 2.81
Ir  0.0000  0.0000  0.0000  6 Tm 2.81

Summary:
**SG**: No. 189

---

Arrangement x

Y3Tm3Te2Ir after structural relaxation. Source: the Open Quantum Materials Database, functional PBE.

abc: 8.3223 8.3223 3.9656
angles: 90.00 90.00 120.00
Last column: nearest neighbours and their distance in Å.
Element x y z (fractional)
Tm  0.0000  0.3925  0.0000  4 Te 3.24, 1 Ir 3.27, 6 Y 3.48-3.61
Tm  0.6075  0.6075  0.0000  4 Te 3.24, 1 Ir 3.27, 6 Y 3.48-3.61
Tm  0.3925  0.0000  0.0000  4 Te 3.24, 1 Ir 3.27, 6 Y 3.48-3.61
Y  0.0000  0.7550  0.5000  2 Ir 2.84
Y  0.7550  0.0000  0.5000  2 Ir 2.84
Y  0.2450  0.2450  0.5000  2 Ir 2.84
Te  0.6667  0.3333  0.5000  3 Y 3.21, 6 Tm 3.24
Te  0.3333  0.6667  0.5000  3 Y 3.21, 6 Tm 3.24
Ir  0.0000  0.0000  0.0000  6 Y 2.84

Summary:
**SG**: No. 189

---

Of them, arrangement x has the lowest stability.

---

Arrangement w

TlIr2 after structural relaxation. Source: the Open Quantum Materials Database, functional PBE.

abc: 8.6069 8.6069 8.6069
angles: 60.00 60.00 60.00
Last column: nearest neighbours and their distance in Å.
Element x y z (fractional)
Ir  0.1250  0.6250  0.6250  2 Tl 2.64
Ir  0.6250  0.6250  0.1250  2 Tl 2.64
Ir  0.6250  0.6250  0.6250  2 Tl 2.64
Ir  0.6250  0.1250  0.6250  2 Tl 2.64
Tl  0.5000  0.5000  0.5000  4 Ir 2.64
Tl  0.7500  0.7500  0.7500  4 Ir 2.64

Summary:
**SG**: No. 227

---

Arrangement x

TlIr2 after structural relaxation. Source: the Open Quantum Materials Database, functional PBE.

abc: 5.3675 5.3675 5.3675
angles: 60.00 60.00 60.00
Last column: nearest neighbours and their distance in Å.
Element x y z (fractional)
Tl  0.0000  0.0000  0.0000  12 Ir 3.15, 4 Tl 3.29
Tl  0.2500  0.2500  0.2500  12 Ir 3.15, 4 Tl 3.29
Ir  0.6250  0.6250  0.1250  6 Ir 2.68
Ir  0.6250  0.1250  0.6250  6 Ir 2.68
Ir  0.6250  0.6250  0.6250  6 Ir 2.68
Ir  0.1250  0.6250  0.6250  6 Ir 2.68

Summary:
**SG**: No. 227

---

Of them, arrangement w has the lowest stability.

---

Arrangement w

YTmIr after structural relaxation. Source: the Open Quantum Materials Database, functional PBE.

abc: 7.1808 4.5784 8.7797
angles: 90.00 90.00 90.00
Last column: nearest neighbours and their distance in Å.
Element x y z (fractional)
Tm  0.4919  0.2500  0.1597  3 Ir 2.77-2.95
Tm  0.5081  0.7500  0.8403  3 Ir 2.77-2.95
Tm  0.9919  0.2500  0.3403  3 Ir 2.77-2.95
Tm  0.0081  0.7500  0.6597  3 Ir 2.77-2.95
Y  0.8579  0.2500  0.9174  4 Ir 2.90-2.92
Y  0.6421  0.7500  0.4174  4 Ir 2.90-2.92
Y  0.1421  0.7500  0.0826  4 Ir 2.90-2.92
Y  0.3579  0.2500  0.5826  4 Ir 2.90-2.92
Ir  0.2373  0.7500  0.4063  3 Tm 2.77-2.95, 4 Y 2.90-2.92
Ir  0.7373  0.7500  0.0937  3 Tm 2.77-2.95, 4 Y 2.90-2.92
Ir  0.7627  0.2500  0.5937  3 Tm 2.77-2.95, 4 Y 2.90-2.92
Ir  0.2627  0.2500  0.9063  3 Tm 2.77-2.95, 4 Y 2.90-2.92

Summary:
**SG**: No. 62

---

Arrangement x

YTmIr after structural relaxation. Source: the Open Quantum Materials Database, functional PBE.

abc: 4.6806 4.6806 4.6806
angles: 60.00 60.00 60.00
Last column: nearest neighbours and their distance in Å.
Element x y z (fractional)
Y  0.7500  0.7500  0.7500  4 Tm 2.87
Ir  0.2500  0.2500  0.2500  4 Tm 2.87
Tm  0.0000  0.0000  0.0000  4 Ir 2.87, 4 Y 2.87

Summary:
**SG**: No. 216

---

Arrangement y

YTmIr after structural relaxation. Source: the Open Quantum Materials Database, functional PBE.

abc: 7.2100 4.5717 8.6829
angles: 90.00 90.00 90.00
Last column: nearest neighbours and their distance in Å.
Element x y z (fractional)
Tm  0.3577  0.2500  0.5777  4 Ir 2.84-2.95
Tm  0.1424  0.7500  0.0777  4 Ir 2.84-2.95
Tm  0.6423  0.7500  0.4223  4 Ir 2.84-2.95
Tm  0.8577  0.2500  0.9223  4 Ir 2.84-2.95
Ir  0.2494  0.7500  0.4052  4 Tm 2.84-2.95, 3 Y 2.84-3.02
Ir  0.2506  0.2500  0.9052  4 Tm 2.84-2.95, 3 Y 2.84-3.02
Ir  0.7494  0.7500  0.0948  4 Tm 2.84-2.95, 3 Y 2.84-3.02
Ir  0.7506  0.2500  0.5948  4 Tm 2.84-2.95, 3 Y 2.84-3.02
Y  0.0101  0.7500  0.6654  3 Ir 2.84-3.02
Y  0.4899  0.2500  0.1654  3 Ir 2.84-3.02
Y  0.5101  0.7500  0.8346  3 Ir 2.84-3.02
Y  0.9899  0.2500  0.3346  3 Ir 2.84-3.02

Summary:
**SG**: No. 62

---

Of them, arrangement x has the lowest stability.

---

Arrangement w

UIrW after structural relaxation. Source: the Open Quantum Materials Database, functional PBE.

abc: 4.4293 4.4293 4.4293
angles: 60.00 60.00 60.00
Last column: nearest neighbours and their distance in Å.
Element x y z (fractional)
Ir  0.0000  0.0000  0.0000  4 W 2.71
U  0.5000  0.5000  0.5000  4 W 2.71
W  0.2500  0.2500  0.2500  4 U 2.71, 4 Ir 2.71

Summary:
**SG**: No. 216

---

Arrangement x

UIrW after structural relaxation. Source: the Open Quantum Materials Database, functional PBE.

abc: 4.4719 4.4719 4.4719
angles: 60.00 60.00 60.00
Last column: nearest neighbours and their distance in Å.
Element x y z (fractional)
U  0.0000  0.0000  0.0000  4 W 2.74, 4 Ir 2.74
Ir  0.2500  0.2500  0.2500  4 U 2.74
W  0.7500  0.7500  0.7500  4 U 2.74

Summary:
**SG**: No. 216

---

Of them, arrangement x has the lowest stability.

---

Arrangement w

ZnIr15 after structural relaxation. Source: the Open Quantum Materials Database, functional PBE.

abc: 7.7276 2.7274 35.5732
angles: 90.00 90.00 90.00
Last column: nearest neighbours and their distance in Å.
Element x y z (fractional)
Ir  0.3752  0.7500  0.2107  12 Ir 2.66-2.77
Ir  0.6248  0.2500  0.7893  12 Ir 2.66-2.77
Ir  0.8740  0.7500  0.9036  12 Ir 2.73-2.74
Ir  0.3751  0.7500  0.1352  12 Ir 2.69-2.76
Ir  0.8748  0.7500  0.1349  12 Ir 2.72-2.74
Ir  0.6240  0.2500  0.0962  12 Ir 2.73-2.74
Ir  0.8731  0.7500  0.7484  9 Ir 2.64-2.78, 2 Zn 2.67
Ir  0.8749  0.7500  0.8266  12 Ir 2.71-2.78
Ir  0.1251  0.2500  0.1734  12 Ir 2.71-2.78
Ir  0.6253  0.2500  0.0196  12 Ir 2.73-2.75
Ir  0.1248  0.2500  0.9418  12 Ir 2.73-2.76
Ir  0.8748  0.7500  0.2114  1 Zn 2.66, 11 Ir 2.72-2.77
Ir  0.6251  0.2500  0.1734  12 Ir 2.71-2.79
Ir  0.8752  0.7500  0.0582  12 Ir 2.73-2.76
Ir  0.1269  0.2500  0.2516  9 Ir 2.64-2.78, 2 Zn 2.67
Ir  0.1260  0.2500  0.0964  12 Ir 2.73-2.74
Ir  0.3749  0.7500  0.8266  12 Ir 2.71-2.79
Ir  0.3769  0.7500  0.7483  9 Ir 2.64-2.79, 2 Zn 2.67
Ir  0.1252  0.2500  0.7886  1 Zn 2.66, 11 Ir 2.72-2.77
Ir  0.8752  0.7500  0.9806  12 Ir 2.73-2.76
Ir  0.3760  0.7500  0.9038  12 Ir 2.73-2.74
Ir  0.3747  0.7500  0.2855  7 Ir 2.64-2.73
Ir  0.6249  0.2500  0.8648  12 Ir 2.69-2.76
Ir  0.6253  0.2500  0.7145  7 Ir 2.64-2.73
Ir  0.6253  0.2500  0.9424  12 Ir 2.73-2.76
Ir  0.1248  0.2500  0.0194  12 Ir 2.73-2.76
Ir  0.6231  0.2500  0.2517  9 Ir 2.64-2.79, 2 Zn 2.67
Ir  0.3747  0.7500  0.0576  12 Ir 2.73-2.76
Ir  0.1252  0.2500  0.8651  12 Ir 2.72-2.74
Ir  0.3747  0.7500  0.9804  12 Ir 2.73-2.75
Zn  0.1248  0.2500  0.7139  5 Ir 2.66-2.67, 2 Zn 2.73
Zn  0.8752  0.7500  0.2861  5 Ir 2.66-2.67, 2 Zn 2.73

Summary:
**SG**: No. 11

---

Arrangement x

ZnIr15 after structural relaxation. Source: the Open Quantum Materials Database, functional PBE.

abc: 3.8595 3.8592 44.2737
angles: 90.00 90.00 90.00
Last column: nearest neighbours and their distance in Å.
Element x y z (fractional)
Ir  0.2500  0.5000  0.3024  12 Ir 2.73-2.75
Ir  0.2500  0.0000  0.6976  12 Ir 2.73-2.75
Ir  0.2500  0.5000  0.7413  12 Ir 2.72-2.73
Ir  0.7500  0.5000  0.7847  10 Ir 2.67-2.73, 2 Zn 2.83
Ir  0.2500  0.5000  0.3903  12 Ir 2.73-2.74
Ir  0.7500  0.5000  0.4343  12 Ir 2.73-2.74
Ir  0.2500  0.0000  0.5220  12 Ir 2.73-2.74
Ir  0.2500  0.5000  0.8262  4 Ir 2.67, 4 Zn 2.74
Ir  0.2500  0.0000  0.6097  12 Ir 2.73-2.74
Ir  0.2500  0.5000  0.5657  12 Ir 2.73-2.74
Ir  0.2500  0.5000  0.6537  12 Ir 2.73-2.74
Ir  0.7500  0.0000  0.5659  12 Ir 2.73-2.74
Ir  0.7500  0.5000  0.3463  12 Ir 2.73-2.74
Ir  0.7500  0.5000  0.6097  12 Ir 2.73-2.74
Ir  0.2500  0.5000  0.2153  10 Ir 2.67-2.73, 2 Zn 2.83
Ir  0.7500  0.5000  0.5219  12 Ir 2.73-2.74
Ir  0.2500  0.0000  0.7847  10 Ir 2.67-2.73, 2 Zn 2.83
Ir  0.7500  0.0000  0.6535  12 Ir 2.73-2.75
Ir  0.7500  0.5000  0.2587  12 Ir 2.72-2.73
Ir  0.2500  0.0000  0.2585  12 Ir 2.72-2.74
Ir  0.7500  0.0000  0.4780  12 Ir 2.73-2.74
Ir  0.2500  0.5000  0.4781  12 Ir 2.73-2.74
Ir  0.2500  0.0000  0.4341  12 Ir 2.73-2.74
Ir  0.7500  0.5000  0.1738  4 Ir 2.67, 4 Zn 2.74
Ir  0.2500  0.0000  0.3465  12 Ir 2.73-2.75
Ir  0.7500  0.0000  0.3024  12 Ir 2.73-2.75
Ir  0.7500  0.0000  0.2153  10 Ir 2.67-2.73, 2 Zn 2.83
Ir  0.7500  0.0000  0.7415  12 Ir 2.72-2.74
Ir  0.7500  0.5000  0.6976  12 Ir 2.73-2.75
Ir  0.7500  0.0000  0.3903  12 Ir 2.73-2.74
Zn  0.2500  0.0000  0.1685  8 Ir 2.74-2.83
Zn  0.7500  0.0000  0.8315  8 Ir 2.74-2.83

Summary:
**SG**: No. 51

---

Arrangement y

ZnIr15 after structural relaxation. Source: the Open Quantum Materials Database, functional PBE.

abc: 5.4450 3.8583 35.6465
angles: 90.00 90.01 90.00
Last column: nearest neighbours and their distance in Å.
Element x y z (fractional)
Ir  0.3751  0.7500  0.1350  12 Ir 2.72-2.76
Ir  0.8752  0.7500  0.9807  12 Ir 2.72-2.76
Ir  0.6245  0.2500  0.0961  12 Ir 2.72-2.74
Ir  0.1282  0.2500  0.2500  9 Ir 2.68-2.76, 2 Zn 2.74
Ir  0.6252  0.2500  0.0194  12 Ir 2.72-2.75
Ir  0.3749  0.7500  0.8271  12 Ir 2.72-2.75
Ir  0.3748  0.7500  0.9806  12 Ir 2.72-2.75
Ir  0.8750  0.7500  0.8271  12 Ir 2.72-2.75
Ir  0.1247  0.2500  0.9420  12 Ir 2.72-2.76
Ir  0.1248  0.2500  0.0193  12 Ir 2.72-2.76
Ir  0.3755  0.7500  0.9039  12 Ir 2.72-2.74
Ir  0.6252  0.2500  0.7141  5 Ir 2.65-2.68, 2 Zn 2.72-2.73
Ir  0.1254  0.2500  0.0962  12 Ir 2.72-2.74
Ir  0.8750  0.7500  0.2115  11 Ir 2.72-2.74, 1 Zn 2.74
Ir  0.3748  0.7500  0.2859  5 Ir 2.65-2.68, 2 Zn 2.72-2.73
Ir  0.8718  0.7500  0.7500  9 Ir 2.68-2.76, 2 Zn 2.74
Ir  0.8753  0.7500  0.0580  12 Ir 2.72-2.76
Ir  0.6218  0.2500  0.2500  9 Ir 2.68-2.76, 2 Zn 2.74
Ir  0.8746  0.7500  0.9038  12 Ir 2.72-2.74
Ir  0.3782  0.7500  0.7500  9 Ir 2.68-2.76, 2 Zn 2.74
Ir  0.8748  0.7500  0.1347  12 Ir 2.72-2.74
Ir  0.1250  0.2500  0.7885  11 Ir 2.72-2.74, 1 Zn 2.74
Ir  0.6251  0.2500  0.9424  12 Ir 2.72-2.76
Ir  0.3749  0.7500  0.0576  12 Ir 2.72-2.76
Ir  0.6251  0.2500  0.1729  12 Ir 2.72-2.75
Ir  0.1252  0.2500  0.8653  12 Ir 2.72-2.74
Ir  0.3752  0.7500  0.2117  12 Ir 2.65-2.74
Ir  0.6248  0.2500  0.7883  12 Ir 2.65-2.74
Ir  0.6249  0.2500  0.8650  12 Ir 2.72-2.76
Ir  0.1250  0.2500  0.1729  12 Ir 2.72-2.75
Zn  0.1250  0.2500  0.7115  7 Ir 2.72-2.74
Zn  0.8750  0.7500  0.2885  7 Ir 2.72-2.74

Summary:
**SG**: No. 11

---

Of them, arrangement y has the lowest stability.

---

Arrangement w

ZnIr15 after structural relaxation. Source: the Open Quantum Materials Database, functional PBE.

abc: 4.7252 35.6438 4.7254
angles: 90.00 109.61 90.00
Last column: nearest neighbours and their distance in Å.
Element x y z (fractional)
Ir  0.5000  0.7115  0.2500  12 Ir 2.61-2.75
Ir  0.0000  0.7109  0.7500  11 Ir 2.72-2.76, 1 Zn 2.78
Ir  0.5000  0.5575  0.2500  12 Ir 2.72-2.78
Ir  0.5000  0.5194  0.7500  12 Ir 2.72-2.74
Ir  0.0000  0.6341  0.7500  12 Ir 2.71-2.74
Ir  0.0000  0.2493  0.7500  9 Ir 2.66-2.77, 2 Zn 2.72
Ir  0.0000  0.2891  0.2500  11 Ir 2.72-2.76, 1 Zn 2.78
Ir  0.5000  0.4806  0.2500  12 Ir 2.72-2.74
Ir  0.0000  0.5193  0.2500  12 Ir 2.72-2.75
Ir  0.5000  0.3270  0.2500  12 Ir 2.71-2.77
Ir  0.0000  0.5963  0.2500  12 Ir 2.72-2.75
Ir  0.0000  0.4420  0.2500  12 Ir 2.71-2.75
Ir  0.5000  0.5961  0.7500  12 Ir 2.72-2.75
Ir  0.5000  0.2885  0.7500  12 Ir 2.61-2.75
Ir  0.0000  0.4807  0.7500  12 Ir 2.72-2.75
Ir  0.5000  0.4425  0.7500  12 Ir 2.72-2.78
Ir  0.5000  0.2493  0.2500  9 Ir 2.66-2.77, 2 Zn 2.73
Ir  0.5000  0.2152  0.7500  5 Ir 2.61-2.66, 2 Zn 2.73
Ir  0.5000  0.4039  0.2500  12 Ir 2.72-2.75
Ir  0.0000  0.5580  0.7500  12 Ir 2.71-2.75
Ir  0.5000  0.3644  0.7500  12 Ir 2.71-2.78
Ir  0.0000  0.6730  0.2500  12 Ir 2.71-2.77
Ir  0.5000  0.6356  0.2500  12 Ir 2.71-2.78
Ir  0.0000  0.4037  0.7500  12 Ir 2.72-2.75
Ir  0.0000  0.7507  0.2500  9 Ir 2.66-2.77, 2 Zn 2.72
Ir  0.0000  0.3659  0.2500  12 Ir 2.71-2.74
Ir  0.5000  0.7507  0.7500  9 Ir 2.66-2.77, 2 Zn 2.73
Ir  0.0000  0.3270  0.7500  12 Ir 2.71-2.77
Ir  0.5000  0.7848  0.2500  5 Ir 2.61-2.66, 2 Zn 2.73
Ir  0.5000  0.6730  0.7500  12 Ir 2.71-2.77
Zn  0.0000  0.7888  0.7500  7 Ir 2.72-2.78
Zn  0.0000  0.2112  0.2500  7 Ir 2.72-2.78

Summary:
**SG**: No. 13

---

Arrangement x

ZnIr15 after structural relaxation. Source: the Open Quantum Materials Database, functional PBE.

abc: 5.4507 2.7360 44.1794
angles: 90.00 90.00 90.00
Last column: nearest neighbours and their distance in Å.
Element x y z (fractional)
Ir  0.6248  0.5000  0.6097  12 Ir 2.72-2.74
Ir  0.6250  0.5000  0.1727  6 Ir 2.68-2.74, 2 Zn 2.73
Ir  0.8748  0.0000  0.3903  12 Ir 2.72-2.74
Ir  0.3753  0.0000  0.2149  10 Ir 2.68-2.74, 2 Zn 2.75
Ir  0.8750  0.0000  0.7421  12 Ir 2.71-2.76
Ir  0.1250  0.5000  0.5219  12 Ir 2.73-2.74
Ir  0.6251  0.5000  0.4342  12 Ir 2.72-2.74
Ir  0.6250  0.5000  0.2588  12 Ir 2.73-2.74
Ir  0.1254  0.5000  0.7851  10 Ir 2.68-2.74, 2 Zn 2.75
Ir  0.1248  0.5000  0.4341  12 Ir 2.72-2.74
Ir  0.1250  0.5000  0.2579  12 Ir 2.71-2.76
Ir  0.6250  0.5000  0.3465  12 Ir 2.72-2.74
Ir  0.3750  0.0000  0.4780  12 Ir 2.73-2.74
Ir  0.3754  0.0000  0.3024  12 Ir 2.72-2.76
Ir  0.8750  0.0000  0.4781  12 Ir 2.73-2.74
Ir  0.6246  0.5000  0.6976  12 Ir 2.72-2.76
Ir  0.1249  0.5000  0.3463  12 Ir 2.72-2.74
Ir  0.8746  0.0000  0.3024  12 Ir 2.72-2.76
Ir  0.1254  0.5000  0.6976  12 Ir 2.72-2.76
Ir  0.3752  0.0000  0.3903  12 Ir 2.72-2.74
Ir  0.1252  0.5000  0.6097  12 Ir 2.72-2.74
Ir  0.6246  0.5000  0.7851  10 Ir 2.68-2.74, 2 Zn 2.75
Ir  0.3750  0.0000  0.6535  12 Ir 2.72-2.74
Ir  0.8752  0.0000  0.5659  12 Ir 2.72-2.74
Ir  0.3750  0.0000  0.8273  6 Ir 2.68-2.74, 2 Zn 2.73
Ir  0.3749  0.0000  0.5658  12 Ir 2.72-2.74
Ir  0.6250  0.5000  0.5219  12 Ir 2.73-2.74
Ir  0.3750  0.0000  0.7412  12 Ir 2.73-2.74
Ir  0.8751  0.0000  0.6537  12 Ir 2.72-2.74
Ir  0.8746  0.0000  0.2149  10 Ir 2.68-2.74, 2 Zn 2.75
Zn  0.1250  0.5000  0.1708  6 Ir 2.73-2.75, 2 Zn 2.74
Zn  0.8750  0.0000  0.8292  6 Ir 2.73-2.75, 2 Zn 2.74

Summary:
**SG**: No. 11

---

Of them, arrangement w has the lowest stability.